# 1
Material: YTi3Pb
Method: DFT, PBE-GGA
State: relaxed

Unit cell a=4.9323 b=4.9323 c=4.9323 alpha=90.00 beta=90.00 gamma=90.00
Space group Pm-3m (No. 221)
Unique sites:
1 Y 0.0000 0.0000 0.0000 (multiplicity 1)
2 Ti 0.0000 0.0000 0.5000 (multiplicity 3)
3 Pb 0.5000 0.5000 0.5000 (multiplicity 1)

N(E_F): 1.332 states/eV per atom
DFT total energy: -5.44 eV per atom
Total magnetization: 0.332 μB per atom
Crystal system: cubic

# 2
Material: YTi3Pb
Method: DFT, PBE-GGA
State: relaxed

Unit cell a=5.1807 b=5.1807 c=5.1807 alpha=90.00 beta=90.00 gamma=90.00
Space group Pm-3m (No. 221)
Unique sites:
1 Y 0.0000 0.0000 0.0000 (multiplicity 1)
2 Ti 0.0000 0.5000 0.5000 (multiplicity 3)
3 Pb 0.5000 0.5000 0.5000 (multiplicity 1)

N(E_F): 1.660 states/eV per atom
DFT total energy: -5.81 eV per atom
Total magnetization: 0.882 μB per atom
Crystal system: cubic

# 3
Material: Y2TiPb2
Method: DFT, PBE-GGA
State: relaxed

Unit cell a=7.6931 b=7.6931 c=4.5545 alpha=90.00 beta=90.00 gamma=90.00
Space group P4/mbm (No. 127)
Unique sites:
1 Y 0.1714 0.3286 0.0000 (multiplicity 4)
2 Ti 0.0000 0.0000 0.5000 (multiplicity 2)
3 Pb 0.1399 0.6399 0.5000 (multiplicity 4)

N(E_F): 0.889 states/eV per atom
DFT total energy: -5.95 eV per atom
Total magnetization: 0.392 μB per atom
Crystal system: tetragonal

# 4
Material: Y2Ti2Pb
Method: DFT, PBE-GGA
State: relaxed

Unit cell a=7.4418 b=7.4418 c=4.4583 alpha=90.00 beta=90.00 gamma=90.00
Space group P4/mbm (No. 127)
Unique sites:
1 Y 0.1640 0.3360 0.0000 (multiplicity 4)
2 Ti 0.1286 0.6286 0.5000 (multiplicity 4)
3 Pb 0.0000 0.0000 0.5000 (multiplicity 2)

N(E_F): 1.365 states/eV per atom
DFT total energy: -6.50 eV per atom
Total magnetization: 0.000 μB per atom
Crystal system: tetragonal